No. 1
DFT (PBE) results for a relaxed TaInTe2P crystal.

Structure (POSCAR):
```
TaInTe2P
1.0
5.512 0.000 0.000
0.000 5.512 0.000
0.000 0.000 5.332
Ta In Te P
1 1 2 1
Direct
0.000 0.000 0.000
0.000 0.000 0.500
0.000 0.500 0.500
0.500 0.000 0.500
0.500 0.500 0.000
```

## Properties
**Symmetry**: P4/mmm, No. 123
**Calculated volume**: 32.400 Å³/atom
**VASP energy**: -17.2 eV for the cell shown
**Energy relative to the elements, uncorrected**: 1.81 eV per atom

No. 2
DFT (PBE) results for a relaxed TaIn2PW crystal.

Structure (POSCAR):
```
TaIn2PW
1.0
5.541 0.000 0.000
0.000 5.541 0.000
0.000 0.000 4.868
Ta In P W
1 2 1 1
Direct
0.000 0.000 0.000
0.000 0.500 0.000
0.500 0.000 0.000
0.500 0.500 0.500
0.000 0.000 0.500
```

## Properties
**Symmetry**: P4/mmm, No. 123
**Calculated volume**: 29.885 Å³/atom
**VASP energy**: -27.2 eV for the cell shown
**Energy relative to the elements**: 8.468 eV per formula unit

No. 3
DFT (PBE) results for a relaxed ZrTaIn2P crystal.

Structure (POSCAR):
```
ZrTaIn2P
1.0
5.509 0.000 0.000
0.000 5.509 0.000
0.000 0.000 4.991
Zr Ta In P
1 1 2 1
Direct
0.000 0.000 0.000
0.000 0.000 0.500
0.000 0.500 0.000
0.500 0.000 0.000
0.500 0.500 0.500
```

## Properties
**Symmetry**: P4/mmm, No. 123
**Calculated volume**: 30.286 Å³/atom
**VASP energy**: -23.9 eV for the cell shown
**Energy relative to the elements**: 7.393 eV per formula unit

No. 4
DFT (PBE) results for a relaxed Zr2TaInP crystal.

Structure (POSCAR):
```
Zr2TaInP
1.0
5.223 0.000 0.000
0.000 5.223 0.000
0.000 0.000 4.999
Zr Ta In P
2 1 1 1
Direct
0.000 0.500 0.000
0.500 0.000 0.000
0.000 0.000 0.500
0.000 0.000 0.000
0.500 0.500 0.500
```

## Properties
**Symmetry**: P4/mmm, No. 123
**Calculated volume**: 27.274 Å³/atom
**VASP energy**: -29.2 eV for the cell shown
**Energy relative to the elements**: 7.870 eV per formula unit

No. 5
DFT (PBE) results for a relaxed TbInP2 crystal.

Structure (POSCAR):
```
TbInP2
1.0
2.010 1.161 6.365
-2.010 1.161 6.365
0.000 -2.321 6.365
Tb In P
1 1 2
Direct
0.000 0.000 0.000
0.500 0.500 0.500
0.247 0.247 0.247
0.753 0.753 0.753
```

## Properties
**Symmetry**: R-3m, No. 166
**Calculated volume**: 22.277 Å³/atom
**VASP energy**: -20.8 eV for the cell shown
**Energy relative to the elements**: -2.660 eV per formula unit

No. 6
DFT (PBE) results for a relaxed Tb2InP crystal.

Structure (POSCAR):
```
Tb2InP
1.0
1.964 1.134 7.941
-1.964 1.134 7.941
0.000 -2.267 7.941
Tb In P
2 1 1
Direct
0.234 0.234 0.234
0.766 0.766 0.766
0.000 0.000 0.000
0.500 0.500 0.500
```

## Properties
**Symmetry**: R-3m, No. 166
**Calculated volume**: 26.517 Å³/atom
**VASP energy**: -21.4 eV for the cell shown
**Energy relative to the elements**: -3.955 eV per formula unit

No. 7
DFT (PBE) results for a relaxed InTc2P crystal.

Structure (POSCAR):
```
InTc2P
1.0
3.240 -1.502 0.000
3.240 1.502 0.000
-2.268 0.000 7.105
In Tc P
1 2 1
Direct
0.000 0.000 0.000
0.269 0.269 0.676
0.731 0.731 0.324
0.500 0.500 0.500
```

## Properties
**Symmetry**: C2/m, No. 12
**Calculated volume**: 17.292 Å³/atom
**VASP energy**: -29.0 eV for the cell shown
**Energy relative to the elements**: -0.093 eV per formula unit

No. 8
DFT (PBE) results for a relaxed InTc2P crystal.

Structure (POSCAR):
```
InTc2P
1.0
3.142 0.000 0.000
0.000 4.185 0.000
0.000 0.000 4.885
In Tc P
1 2 1
Direct
0.000 0.000 0.000
0.000 0.500 0.500
0.500 0.500 0.000
0.500 0.000 0.500
```

## Properties
**Symmetry**: Pmmm, No. 47
**Calculated volume**: 16.056 Å³/atom
**VASP energy**: -26.9 eV for the cell shown
**Energy relative to the elements**: 1.956 eV per formula unit